A plane-wave DFT calculation with PBE was carried out for a geometry-optimized Ce2PuMnN5 structure.

Cell and atoms, written as extended XYZ:
```
18
Lattice="5.704 0.000 0.000 0.000 6.462 0.000 0.000 0.000 6.462" Properties=species:S:1:pos:R:3 pbc="T T T"
N 1.264 5.480 2.249
N 4.439 5.480 2.249
N 2.852 3.231 3.231
N 4.439 2.249 0.982
N 1.264 2.249 0.982
N 1.264 4.214 5.480
N 4.439 0.982 4.214
N 1.264 0.982 4.214
N 4.439 4.214 5.480
N 2.852 0.000 0.000
Mn 0.000 0.000 3.231
Mn 0.000 3.231 0.000
Ce 2.852 4.310 1.079
Ce 2.852 2.153 5.384
Ce 2.852 1.079 2.153
Ce 2.852 5.384 4.310
Pu 0.000 3.231 3.231
Pu 0.000 0.000 0.000
```

Raw formation energy (eV/atom): -0.88
Energy (eV/atom): -9.4366

A plane-wave DFT calculation with PBE was carried out for a geometry-optimized Fe2AgRu structure.

Cell and atoms, written as extended XYZ:
```
4
Lattice="8.900 -0.045 -0.027 8.497 2.649 -0.027 8.497 1.272 2.324" Properties=species:S:1:pos:R:3 pbc="T T T"
Ag 19.357 2.897 1.698
Ru 13.172 1.972 1.155
Fe 25.696 3.846 2.254
Fe 6.507 0.974 0.571
```

Energy of formation from the pure elements (eV per atom): 0.300
Energy (eV/atom): -6.9627
Relative energy among the computed polymorphs (meV per atom): 0

A plane-wave DFT calculation with PBE was carried out for a geometry-optimized Hf4GeP structure.

Cell and atoms, written as extended XYZ:
```
12
Lattice="-1.872 6.657 1.486 -4.216 -3.459 -4.504 -0.264 -3.556 6.108" Properties=species:S:1:pos:R:3 pbc="T T T"
Hf -2.739 -1.279 -0.248
Hf -2.777 -2.651 3.046
Hf -1.785 3.779 2.686
Hf -4.620 -4.224 0.425
Hf -1.794 2.530 6.053
Hf -3.556 1.005 3.320
Hf -3.410 2.207 0.126
Hf -0.503 0.655 1.462
Ge -5.239 -1.932 -0.685
Ge -4.521 2.375 -2.241
P -2.288 -3.482 0.778
P -1.570 0.825 -0.778
```

Energy of formation from the pure elements (eV per atom): -0.328
Energy (eV/atom): -8.6351
Relative energy among the computed polymorphs (meV per atom): 488

A plane-wave DFT calculation with PBE was carried out for a geometry-optimized Ca2BeTlCo structure.

Cell and atoms, written as extended XYZ:
```
5
Lattice="-4.768 -1.720 -1.057 1.723 -2.251 -4.106 0.938 -4.288 2.745" Properties=species:S:1:pos:R:3 pbc="T T T"
Tl 0.861 -1.126 -2.053
Co 0.000 0.000 0.000
Ca 0.469 -2.144 1.372
Ca -2.384 -0.860 -0.529
Be -1.054 -4.130 -1.209
```

Energy of formation from the pure elements (eV per atom): 0.484
Energy (eV/atom): -2.9566

A plane-wave DFT calculation with PBE was carried out for a geometry-optimized Li5Cd2Au3 structure.

Cell and atoms, written as extended XYZ:
```
20
Lattice="5.510 0.209 -0.373 -0.737 7.739 -1.966 0.239 -0.201 8.013" Properties=species:S:1:pos:R:3 pbc="T T T"
Cd 4.374 4.934 -0.519
Cd 2.914 6.810 1.116
Cd 2.098 0.938 4.558
Cd 0.638 2.813 6.194
Li 1.679 5.704 -1.350
Li 5.104 5.605 4.651
Li 5.116 0.263 5.433
Li 2.267 6.169 3.997
Li 2.745 1.578 1.677
Li -0.104 7.484 0.241
Li 3.333 2.044 7.024
Li 1.165 3.523 3.306
Li -0.093 2.142 1.024
Li 3.847 4.225 2.369
Au 0.190 5.882 2.354
Au 1.586 0.098 7.609
Au 3.426 7.649 -1.935
Au 4.821 1.866 3.321
Au 1.792 3.997 0.697
Au 3.220 3.751 4.977
```

Energy of formation from the pure elements (eV per atom): -0.402
Energy (eV/atom): -2.5256

A plane-wave DFT calculation with PBE was carried out for a geometry-optimized Rb2ZnC2O6 structure.

Cell and atoms, written as extended XYZ:
```
11
Lattice="-0.052 5.031 -0.036 -5.808 -2.565 1.424 4.533 0.083 5.067" Properties=species:S:1:pos:R:3 pbc="T T T"
O 2.672 1.180 3.929
O -3.969 -1.414 2.545
O -1.449 2.532 4.385
O 2.643 3.963 3.910
O -3.998 1.369 2.525
O 0.123 0.016 2.070
Rb 0.067 0.036 4.988
Rb -1.393 2.512 1.467
Zn 2.241 2.557 2.515
C -2.568 2.525 4.982
C 1.241 0.023 1.473
```

Raw formation energy (eV/atom): -1.57
Energy (eV/atom): -6.2457

A plane-wave DFT calculation with PBE was carried out for a geometry-optimized MnPd9Pt2 structure.

Cell and atoms, written as extended XYZ:
```
12
Lattice="-0.820 1.096 3.681 -3.173 -2.314 -0.018 6.556 -9.023 4.147" Properties=species:S:1:pos:R:3 pbc="T T T"
Pd 2.393 -6.652 4.609
Pd -1.997 -0.609 1.832
Pd -0.514 -2.633 0.669
Pd 5.073 -6.998 5.309
Pd 2.868 -3.963 3.914
Pd 0.168 -3.589 3.201
Pd 1.691 -5.668 2.064
Pd 3.896 -8.703 3.460
Pd 0.662 -0.928 2.519
Mn 0.000 0.000 0.000
Pt 2.197 -3.024 1.390
Pt 4.359 -5.999 2.757
```

Energy of formation from the pure elements (eV per atom): -0.095
Energy (eV/atom): -5.7605

A plane-wave DFT calculation with PBE was carried out for a geometry-optimized Sc2CrPb structure.

Cell and atoms, written as extended XYZ:
```
4
Lattice="-0.421 -0.276 5.650 -1.590 -3.904 3.796 3.329 -1.964 1.743" Properties=species:S:1:pos:R:3 pbc="T T T"
Sc 3.329 -1.964 1.743
Sc 0.329 -1.536 2.797
Cr 0.660 -3.072 5.593
Pb 0.988 -4.608 8.392
```

Energy of formation from the pure elements (eV per atom): 0.010
Energy (eV/atom): -6.4884

A plane-wave DFT calculation with PBE was carried out for a geometry-optimized Ca4InPb5 structure.

Cell and atoms, written as extended XYZ:
```
10
Lattice="3.684 0.000 0.000 0.000 4.608 0.000 0.000 0.000 17.670" Properties=species:S:1:pos:R:3 pbc="T T T"
Ca 0.000 0.000 3.463
Ca 0.000 0.000 10.624
Ca 0.000 0.000 14.207
Ca 0.000 0.000 7.046
In 0.000 0.000 0.000
Pb 1.842 2.304 15.958
Pb 1.842 2.304 12.414
Pb 1.842 2.304 8.835
Pb 1.842 2.304 5.256
Pb 1.842 2.304 1.712
```

Energy of formation from the pure elements (eV per atom): -0.399
Energy (eV/atom): -3.3281

A plane-wave DFT calculation with PBE was carried out for a geometry-optimized TbY2Ru structure.

Cell and atoms, written as extended XYZ:
```
8
Lattice="3.905 0.000 0.000 -1.952 6.003 0.000 0.000 0.000 9.190" Properties=species:S:1:pos:R:3 pbc="T T T"
Ru 0.000 3.101 2.297
Ru 1.953 2.901 6.892
Tb 1.952 5.073 2.297
Tb 0.000 0.930 6.892
Y 0.000 4.289 8.565
Y 1.952 1.713 3.970
Y 1.952 1.713 0.625
Y 0.000 4.289 5.220
```

Energy of formation from the pure elements (eV per atom): -0.287
Energy (eV/atom): -6.9953
Relative energy among the computed polymorphs (meV per atom): 21